Entry from Alexandria via LeMat-Bulk: a relaxed LiTl2WO4 crystal (PBE+U).

Structure (POSCAR):
```
LiTl2WO4
1.0
0.000 5.900 11.271
2.681 0.000 11.271
2.681 5.900 0.000
Li Tl W O
2 4 2 8
Direct
0.125 0.125 0.125
0.875 0.875 0.875
0.018 0.018 0.732
0.268 0.268 0.982
0.732 0.732 0.018
0.982 0.982 0.268
0.375 0.375 0.375
0.625 0.625 0.625
0.029 0.631 0.555
0.284 0.555 0.631
0.369 0.971 0.716
0.445 0.716 0.971
0.555 0.284 0.029
0.631 0.029 0.284
0.716 0.445 0.369
0.971 0.369 0.445
```

Summary:
DOS(E_F), states/eV/cell: 3.14
Electronic total energy, eV per atom: -5.5862
SG: Fddd, No. 70